[1]
The following is a DFT calculation (PBE-GGA) of an optimized crystal structure of TmLuI.

Calculated values
Total energy   -3.97 eV/atom
Magnetic moment   0.01 μB/f.u.

Cell: 3.7581 3.7581 7.4196 Å, 90.00 90.00 120.00°
Last column: nearest neighbours and their distance in Å.
Space group P3m1 (No. 156)
Symmetry-distinct sites (fractional):
Tm 0.0000 0.0000 0.0000 x1  3 I 3.26, 3 Lu 3.34
Lu 0.3333 0.6667 0.6580 x1  3 I 3.27, 3 Tm 3.34
I 0.6667 0.3333 0.3288 x1  3 Tm 3.26, 3 Lu 3.27

[2]
The following is a DFT calculation (PBE-GGA) of an optimized crystal structure of MgI.

Calculated values
Total energy   -1.82 eV/atom
Magnetic moment   0.00 μB/f.u.

Cell: 4.1438 4.1438 9.8749 Å, 90.00 90.00 120.00°
Last column: nearest neighbours and their distance in Å.
Space group P6_3mc (No. 186)
Symmetry-distinct sites (fractional):
Mg 0.3333 0.6667 0.0000 x2  4 I 3.04-3.07
I 0.3333 0.6667 0.3105 x2  4 Mg 3.04-3.07